The following is a PBE calculation of a relaxed structure of PuNbPt, from Alexandria.

Structure (CIF):
```
data_PuNbPt
_cell_length_a 5.1091
_cell_length_b 5.5530
_cell_length_c 9.5150
_cell_angle_alpha 90.00
_cell_angle_beta 117.02
_cell_angle_gamma 90.00
_space_group_name_H-M_alt 'P 1 21/c 1'
_space_group_IT_number 14
_space_group_name_Hall '-P 2ybc'
loop_
_atom_site_label
_atom_site_fract_x
_atom_site_fract_y
_atom_site_fract_z
Pu1 0.0891 0.1852 0.3963
Nb1 0.4170 0.0602 0.2328
Pt1 0.2812 0.6927 0.4454
```

Results
VASP energy (eV/cell): -124.405
Crystal system: monoclinic
Formation enthalpy at 0 K (eV/atom): -0.220
Theoretical density (Mg/m³): 14.69
Distance to the lowest polymorph of the same formula (eV/atom): 0.030